Here is a relaxed TmInHg4 crystal from Alexandria via LeMat-Bulk. Energies are from GGA-PBE.

Cell lengths 4.389, 4.407, 8.799 Å; angles 89.98, 90.00, 90.00 degrees
Fractional coordinates of all 6 atoms:
Hg (0.501, 0.997, 0.752)
Hg (0.501, 0.997, 0.244)
Hg (0.001, 0.497, 0.751)
In (0.001, 0.997, 0.498)
Tm (0.501, 0.497, 0.998)
Hg (0.001, 0.497, 0.245)

Summary:
* energy above the most stable polymorph in this dataset: 88 meV/atom
* E: -1.467 eV/atom
* formation energy: -0.064 eV per atom
* total moment: 0.00 Bohr magnetons per cell